# BiSb3Se | Alexandria via LeMat-Bulk | PBE | optimized geometry
data_BiSb3Se
_chemical_formula_sum 'Bi1 Sb3 Se1'
_space_group_name_H-M_alt 'P 1'
_space_group_IT_number 1
_cell_length_a 5.411
_cell_length_b 5.411
_cell_length_c 5.411
_cell_angle_alpha 90.00
_cell_angle_beta 90.00
_cell_angle_gamma 90.00
loop_
_space_group_symop_operation_xyz
'x,y,z'
loop_
_atom_site_label
_atom_site_type_symbol
_atom_site_fract_x
_atom_site_fract_y
_atom_site_fract_z
Bi1 Bi 0.000 0.000 0.000
Sb1 Sb 0.000 0.500 0.500
Sb2 Sb 0.500 0.000 0.500
Sb3 Sb 0.500 0.500 0.000
Se1 Se 0.500 0.500 0.500
# **Energy above the lowest structure with this stoichiometry**: 0.0 meV/atom
# **Electronic total energy**: -0.250 Ry/atom
# **Formation energy without anion corrections**: 0.54 eV per atom